Sm3DyAg2 after structural relaxation, computed with PBE.

a b c (Å): 7.0960 7.5930 8.7833
angles (deg): 115.61 113.83 90.00
Fractional positions:
Sm 0.7744 0.0244 0.5488
Sm 0.5000 0.7500 0.0000
Sm 0.5000 0.2500 0.0000
Sm 0.2256 0.9756 0.4512
Sm 0.7744 0.5244 0.5488
Sm 0.2256 0.4756 0.4512
Dy 0.0000 0.5000 0.0000
Dy 0.0000 0.0000 0.0000
Ag 0.1610 0.8590 0.7179
Ag 0.8390 0.1410 0.2821
Ag 0.5569 0.3590 0.7179
Ag 0.4431 0.6410 0.2821

Calculated values
Energy of formation from the pure elements (eV/atom): 0.055
ρ (g/cm3): 7.22
Spin magnetization (μB/cell): 0.00
D(E_F) (states/eV/cell): 16.767